No. 1
An optimized crystal structure of TlNiBr2, computed with GGA-PBEsol.

Output
DFT total energy	-2.9372	eV/atom
formation energy (no corrections)	195	meV per atom

Unit cell a=5.0937 b=5.0937 c=5.0937 alpha=60.00 beta=60.00 gamma=60.00
With the nearest neighbours (Å) after each atom.
Fractional coordinates of all 4 atoms:
Tl 0.0000 0.0000 0.0000  8 Br 3.12
Ni 0.5000 0.5000 0.5000  8 Br 3.12
Br 0.2500 0.2500 0.2500  4 Tl 3.12, 4 Ni 3.12
Br 0.7500 0.7500 0.7500  4 Tl 3.12, 4 Ni 3.12


No. 2
An optimized crystal structure of YBe2Pt, computed with GGA-PBEsol.

Output
energy of formation from the pure elements	-2.6	eV/f.u.
DFT total energy	-6.0950	eV/atom

Unit cell a=5.2484 b=5.2484 c=5.2484 alpha=43.38 beta=43.38 gamma=43.38
With the nearest neighbours (Å) after each atom.
Fractional coordinates of all 4 atoms:
Y 0.0000 0.0000 0.0000  8 Be 2.81-2.96
Be 0.1971 0.1971 0.1971  3 Pt 2.28, 3 Be 2.40
Be 0.8029 0.8029 0.8029  3 Pt 2.28, 3 Be 2.40
Pt 0.5000 0.5000 0.5000  6 Be 2.28


Polymorph energy (0 for the lowest one) in meV/atom, matching the order above: 6.6, 0.0